(1)
Compound: GdV3
Source: Alexandria
Functional: PBE
Structure: optimized geometry

```
GdV3
1.0
-2.282 1.687 -1.618
-0.769 -3.484 -2.548
-3.521 -1.620 3.278
Gd V
1 3
Direct
0.000 0.500 0.356
0.500 0.000 0.555
0.500 0.500 0.845
0.000 0.000 0.911
```

Calculated values
DFT formation energy ... 2.0 eV per formula unit

(2)
Compound: LaDyHo5
Source: Alexandria
Functional: PBE
Structure: optimized geometry

```
LaDyHo5
1.0
-0.650 -0.510 -5.724
-6.213 -4.475 -1.818
-6.198 4.104 -2.584
Ho La Dy
5 1 1
Direct
0.500 0.821 0.179
0.500 0.179 0.821
0.000 0.500 0.500
0.747 0.253 0.253
0.253 0.747 0.747
0.000 0.000 0.000
0.500 0.500 0.500
```

Calculated values
DFT formation energy ... 7.8 eV per formula unit

(3)
Compound: Cs2KCl
Source: Alexandria
Functional: PBE
Structure: optimized geometry

```
Cs2KCl
1.0
2.835 -0.963 9.137
-9.545 -0.678 0.939
3.788 -6.536 -5.947
K Cs Cl
2 4 2
Direct
0.750 0.250 0.500
0.000 0.000 0.000
0.375 0.495 0.620
0.245 0.625 0.120
0.875 0.755 0.380
0.505 0.125 0.880
0.250 0.750 0.500
0.500 0.500 0.000
```

Calculated values
E_form (uncorrected) ... -3.52 eV per formula unit

(4)
Compound: TlSb2Se2
Source: Alexandria
Functional: PBE
Structure: optimized geometry

```
TlSb2Se2
1.0
-2.376 4.908 -1.499
-2.756 0.173 4.935
1.107 4.919 3.685
Se Sb Tl
2 2 1
Direct
0.750 0.250 0.500
0.250 0.750 0.500
0.670 0.670 0.660
0.330 0.330 0.340
0.000 0.000 0.000
```

Calculated values
E_form (uncorrected) ... -0.36 eV per formula unit

(5)
Compound: TcTe2HSe
Source: Alexandria
Functional: PBE
Structure: optimized geometry

```
TcTe2HSe
1.0
-1.956 3.652 -1.111
-2.546 -2.509 -3.766
-3.186 -0.874 2.736
Tc Se Te H
1 1 2 1
Direct
0.500 0.500 0.500
0.000 0.500 0.000
0.500 0.000 0.000
0.000 0.000 0.500
0.000 0.000 0.000
```

Calculated values
Total energy ... -18.451 eV for the cell shown

(6)
Compound: Np3Pa5Se8
Source: Alexandria
Functional: PBE
Structure: optimized geometry

```
Np3Pa5Se8
1.0
-6.745 -4.214 0.228
0.184 -7.699 1.999
-3.034 -2.253 7.435
Pa Se Np
5 8 3
Direct
0.000 0.000 0.000
0.000 0.500 0.000
0.500 0.000 0.000
0.500 0.500 0.000
0.500 0.500 0.500
0.752 0.250 0.747
0.750 0.750 0.253
0.248 0.750 0.253
0.250 0.250 0.747
0.250 0.752 0.747
0.750 0.248 0.253
0.248 0.248 0.255
0.752 0.752 0.745
0.500 0.000 0.500
0.000 0.000 0.500
0.000 0.500 0.500
```

Calculated values
E_form (uncorrected) ... -18.65 eV per formula unit